--- A ---
VASP calculation (PBE) on crystalline AlP2Br at its relaxed geometry.

POSCAR file:
```
AlP2Br
1.0
-2.209 -3.916 3.716
0.017 -4.237 -4.010
3.144 3.403 3.544
P Al Br
2 1 1
Direct
0.922 0.922 0.000
0.751 0.251 0.500
0.523 0.523 0.000
0.304 0.804 0.500
```

Calculated values
Its space group is Imm2 (44). Its calculated density is 2.74 Mg/m³. Its density of states at the Fermi level is 2.2 states/eV per cell.

---

--- B ---
VASP calculation (PBE) on crystalline AlP2Br at its relaxed geometry.

POSCAR file:
```
AlP2Br
1.0
-1.281 -3.538 -0.920
3.620 1.289 0.488
-0.427 -2.124 8.766
P Br Al
2 1 1
Direct
0.500 0.500 0.257
0.000 0.000 0.099
0.500 0.500 0.676
0.000 0.000 0.468
```

Calculated values
Its space group is Cmm2 (35). Its calculated density is 2.70 Mg/m³. Its density of states at the Fermi level is 2.3 states/eV per cell.

---

--- C ---
VASP calculation (PBE) on crystalline AlP2Br at its relaxed geometry.

POSCAR file:
```
AlP2Br
1.0
-0.838 -2.022 -4.960
-1.471 -4.398 -2.807
-5.101 1.585 0.251
Al P Br
1 2 1
Direct
0.750 0.750 0.750
0.440 0.440 0.663
0.060 0.060 0.837
0.250 0.250 0.250
```

Calculated values
Its space group is C2/m (12). Its calculated density is 3.10 Mg/m³. Its density of states at the Fermi level is 1.3 states/eV per cell.

---

--- D ---
VASP calculation (PBE) on crystalline AlP2Br at its relaxed geometry.

POSCAR file:
```
AlP2Br
1.0
11.355 0.001 0.001
10.969 2.933 0.001
10.969 1.442 2.554
P Al Br
2 1 1
Direct
0.528 0.528 0.528
0.972 0.972 0.972
0.250 0.250 0.250
0.750 0.750 0.750
```

Calculated values
Its space group is R-3m (166). Its calculated density is 3.30 Mg/m³. Its density of states at the Fermi level is 2.1 states/eV per cell.

---

Last place for stability: D

---

--- A ---
VASP calculation (PBE) on crystalline AlPBr2 at its relaxed geometry.

POSCAR file:
```
AlPBr2
1.0
-9.061 -2.749 0.817
-8.494 -1.455 4.008
-9.377 0.679 1.391
P Br Al
1 2 1
Direct
0.000 0.000 0.000
0.090 0.090 0.090
0.910 0.910 0.910
0.500 0.500 0.500
```

Calculated values
Its space group is R-3m (166). Its calculated density is 3.69 Mg/m³. Its density of states at the Fermi level is 1.6 states/eV per cell.

---

--- B ---
VASP calculation (PBE) on crystalline AlPBr2 at its relaxed geometry.

POSCAR file:
```
AlPBr2
1.0
-2.246 -0.970 -2.451
-2.555 -2.764 3.435
-2.918 4.036 1.077
Br Al P
2 1 1
Direct
0.000 0.500 0.500
0.000 0.000 0.000
0.500 0.000 0.500
0.500 0.500 0.000
```

Calculated values
Its space group is P4/mmm (123). Its calculated density is 4.02 Mg/m³. Its density of states at the Fermi level is 2.5 states/eV per cell.

---

--- C ---
VASP calculation (PBE) on crystalline AlPBr2 at its relaxed geometry.

POSCAR file:
```
AlPBr2
1.0
3.446 0.000 0.000
0.000 6.039 0.000
0.000 0.000 4.327
Br P Al
2 1 1
Direct
0.000 0.000 0.000
0.500 0.500 0.000
0.500 0.000 0.500
0.000 0.500 0.500
```

Calculated values
Its space group is Pmmm (47). Its calculated density is 4.02 Mg/m³. Its density of states at the Fermi level is 1.8 states/eV per cell.

---

Last place for stability: B

---

--- A ---
VASP calculation (PBE) on crystalline AlPBr2 at its relaxed geometry.

POSCAR file:
```
AlPBr2
1.0
4.936 0.000 0.000
2.468 4.275 0.000
2.468 1.425 4.030
Al P Br
1 1 2
Direct
0.500 0.500 0.500
0.750 0.750 0.750
0.000 0.000 0.000
0.250 0.250 0.250
```

Calculated values
Its space group is F-43m (216). Its calculated density is 4.25 Mg/m³. Its density of states at the Fermi level is 4.4 states/eV per cell.

---

--- B ---
VASP calculation (PBE) on crystalline AlPBr2 at its relaxed geometry.

POSCAR file:
```
AlPBr2
1.0
3.928 0.000 0.000
0.000 7.003 0.235
0.000 5.840 5.245
Al Br P
1 2 1
Direct
0.500 0.737 0.555
0.000 0.032 0.010
0.500 0.206 0.344
0.000 0.525 0.592
```

Calculated values
Its space group is Pm (6). Its calculated density is 2.60 Mg/m³.

---

Last place for stability: A

---

--- A ---
VASP calculation (PBE) on crystalline AlPBr2 at its relaxed geometry.

POSCAR file:
```
AlPBr2
1.0
3.597 0.000 0.000
0.000 3.597 0.000
0.000 0.000 8.404
P Al Br
1 1 2
Direct
0.000 0.000 0.662
0.500 0.500 0.591
0.000 0.000 0.928
0.500 0.500 0.319
```

Calculated values
Its space group is P4mm (99). Its calculated density is 3.33 Mg/m³. Its density of states at the Fermi level is 1.2 states/eV per cell.

---

--- B ---
VASP calculation (PBE) on crystalline AlPBr2 at its relaxed geometry.

POSCAR file:
```
AlPBr2
1.0
-4.104 -3.215 -6.643
0.856 -3.652 -7.566
1.599 1.156 8.211
Br P Al
2 1 1
Direct
0.396 0.396 0.000
0.104 0.104 0.000
0.750 0.250 0.500
0.250 0.750 0.500
```

Calculated values
Its space group is Immm (71). Its calculated density is 3.50 Mg/m³. Its density of states at the Fermi level is 1.6 states/eV per cell.

---

Last place for stability: B

---

--- A ---
VASP calculation (PBE) on crystalline AlPBr2 at its relaxed geometry.

POSCAR file:
```
AlPBr2
1.0
-6.021 -2.082 6.704
-4.717 -5.244 5.981
-3.018 -3.112 8.170
Br Al P
2 1 1
Direct
0.022 0.022 0.022
0.478 0.478 0.478
0.750 0.750 0.750
0.250 0.250 0.250
```

Calculated values
Its space group is R-3m (166). Its calculated density is 3.78 Mg/m³. Its density of states at the Fermi level is 1.8 states/eV per cell.

---

--- B ---
VASP calculation (PBE) on crystalline AlPBr2 at its relaxed geometry.

POSCAR file:
```
AlPBr2
1.0
-3.927 -5.257 5.357
-5.702 -5.951 1.956
-2.298 -7.670 2.764
Al P Br
1 1 2
Direct
0.774 0.774 0.774
0.472 0.472 0.472
0.218 0.218 0.218
0.036 0.036 0.036
```

Calculated values
Its space group is R3m (160). Its calculated density is 3.36 Mg/m³. Its density of states at the Fermi level is 2.3 states/eV per cell.

---

Last place for stability: A

---

--- A ---
VASP calculation (PBE) on crystalline AlPBr2 at its relaxed geometry.

POSCAR file:
```
AlPBr2
1.0
-4.697 -8.272 1.247
-2.430 -8.519 3.685
-5.263 -6.832 4.205
P Al Br
1 1 2
Direct
0.500 0.500 0.500
0.000 0.000 0.000
0.090 0.090 0.090
0.910 0.910 0.910
```

Calculated values
Its space group is R-3m (166). Its calculated density is 3.99 Mg/m³. Its density of states at the Fermi level is 2.6 states/eV per cell.

---

--- B ---
VASP calculation (PBE) on crystalline AlPBr2 at its relaxed geometry.

POSCAR file:
```
AlPBr2
1.0
3.550 -0.007 0.000
-1.913 2.991 0.000
0.000 0.000 8.742
Al Br P
1 2 1
Direct
0.500 0.500 0.750
0.000 0.000 0.985
0.000 0.000 0.515
0.500 0.500 0.250
```

Calculated values
Its space group is Cmmm (65). Its calculated density is 3.90 Mg/m³. Its density of states at the Fermi level is 1.0 states/eV per cell.

---

Last place for stability: A